[1]
{
  "formula": "BaNi2Rh",
  "functional": "PBE",
  "state": "relaxed",
  "lattice_angstrom": [[3.246, 0.069, 0.000], [-0.069, 3.246, 0.000], [0.000, 0.000, 7.041]],
  "species": ["Ba", "Ni", "Ni", "Rh"],
  "frac_coords": [[0.500, 0.500, 0.750], [0.000, 0.000, 0.083], [0.000, 0.000, 0.417], [0.500, 0.500, 0.250]],
  "e_form_mev_per_atom": 339,
  "crystal_system": "tetragonal",
  "sg": "P4/mmm, No. 123"
}

---

[2]
{
  "formula": "BaNi2Rh2",
  "functional": "PBE",
  "state": "relaxed",
  "lattice_angstrom": [[-0.103, -4.756, 5.981], [6.029, -3.726, -2.859], [1.789, 1.783, 1.449]],
  "species": ["Ni", "Ni", "Ni", "Ni", "Rh", "Rh", "Rh", "Rh", "Ba", "Ba"],
  "frac_coords": [[0.383, 0.883, 0.000], [0.883, 0.617, 0.000], [0.617, 0.117, 0.000], [0.117, 0.383, 0.000], [0.167, 0.667, 0.500], [0.667, 0.833, 0.500], [0.833, 0.333, 0.500], [0.333, 0.167, 0.500], [0.000, 0.000, 0.000], [0.500, 0.500, 0.000]],
  "polymorph_energy_ev_per_atom": 0.148,
  "e_form_mev_per_atom": 304,
  "crystal_system": "tetragonal",
  "sg": "P4/mbm, No. 127"
}

---

[3]
{
  "formula": "BaNi2Rh2",
  "functional": "PBE",
  "state": "relaxed",
  "lattice_angstrom": [[4.297, 0.000, 0.000], [0.000, 4.297, 0.000], [2.148, 2.148, 5.118]],
  "species": ["Ni", "Ni", "Rh", "Rh", "Ba"],
  "frac_coords": [[0.375, 0.375, 0.251], [0.625, 0.625, 0.749], [0.750, 0.250, 0.500], [0.250, 0.750, 0.500], [0.000, 0.000, 0.000]],
  "polymorph_energy_ev_per_atom": 0.000,
  "e_form_mev_per_atom": 156,
  "crystal_system": "tetragonal",
  "sg": "I4/mmm, No. 139"
}

---

[4]
{
  "formula": "BaNi2Rh",
  "functional": "PBE",
  "state": "relaxed",
  "lattice_angstrom": [[4.813, 0.000, 0.000], [0.000, 4.813, 0.000], [2.407, 2.407, 8.154]],
  "species": ["Ni", "Ni", "Ni", "Ni", "Rh", "Rh", "Ba", "Ba"],
  "frac_coords": [[0.375, 0.125, 0.250], [0.375, 0.625, 0.250], [0.375, 0.625, 0.750], [0.875, 0.625, 0.750], [0.500, 0.500, 0.000], [0.250, 0.750, 0.500], [0.000, 0.000, 0.000], [0.750, 0.250, 0.500]],
  "e_form_mev_per_atom": 228,
  "crystal_system": "tetragonal",
  "sg": "I4_1/amd, No. 141"
}

---

[5]
{
  "formula": "Ba4NiRh",
  "functional": "PBE",
  "state": "relaxed",
  "lattice_angstrom": [[1.822, -6.543, 0.159], [0.627, -3.208, 5.956], [-4.521, -4.743, 1.797]],
  "species": ["Ba", "Ba", "Ba", "Ba", "Ni", "Rh"],
  "frac_coords": [[0.876, 0.375, 0.375], [0.375, 0.375, 0.876], [0.375, 0.876, 0.375], [0.375, 0.375, 0.375], [0.750, 0.750, 0.750], [0.000, 0.000, 0.000]],
  "e_form_mev_per_atom": 1041,
  "crystal_system": "cubic",
  "sg": "F-43m, No. 216"
}

---

[6]
{
  "formula": "Ba2Ni2Rh",
  "functional": "PBE",
  "state": "relaxed",
  "lattice_angstrom": [[4.138, 0.000, 1.188], [1.898, 3.676, 1.188], [-0.545, -0.332, 9.697]],
  "species": ["Ba", "Ba", "Ni", "Ni", "Rh"],
  "frac_coords": [[0.422, 0.422, 0.734], [0.578, 0.578, 0.266], [0.679, 0.679, 0.964], [0.321, 0.321, 0.036], [0.000, 0.000, 0.000]],
  "polymorph_energy_ev_per_atom": 0.000,
  "e_form_mev_per_atom": -115,
  "crystal_system": "trigonal",
  "sg": "R-3m, No. 166"
}